! Li4Sm3Au4 | the Alexandria database | PBE | relaxed; values from VASP
! SG = No. 71
! ΔE_f = -587 meV per atom
! crystal system = orthorhombic
&SYSTEM
  ibrav = 0, nat = 11, ntyp = 3
/
ATOMIC_SPECIES
Li 6.94 Li.upf
Sm 150.36 Sm.upf
Au 196.97 Au.upf
ATOMIC_POSITIONS crystal
Li 0.017 0.823 0.193
Li 0.370 0.177 0.193
Li 0.630 0.823 0.807
Li 0.983 0.177 0.807
Sm 0.000 0.500 0.500
Sm 0.378 0.378 0.000
Sm 0.622 0.622 0.000
Au 0.220 0.720 0.500
Au 0.304 0.000 0.304
Au 0.696 0.000 0.696
Au 0.780 0.280 0.500
CELL_PARAMETERS angstrom
-2.061 3.930 7.233
2.061 -3.930 7.233
2.061 3.930 -7.233

=====

! Li6SmAu6 | the Alexandria database | PBE | relaxed; values from VASP
! SG = No. 71
! ΔE_f = -499 meV per atom
! crystal system = orthorhombic
&SYSTEM
  ibrav = 0, nat = 13, ntyp = 3
/
ATOMIC_SPECIES
Li 6.94 Li.upf
Sm 150.36 Sm.upf
Au 196.97 Au.upf
ATOMIC_POSITIONS crystal
Li 0.000 0.000 0.500
Li 0.000 0.500 0.000
Li 0.237 0.000 0.237
Li 0.500 0.000 0.000
Li 0.500 0.500 0.500
Li 0.763 0.000 0.763
Sm 0.000 0.500 0.500
Au 0.193 0.193 0.000
Au 0.335 0.500 0.835
Au 0.342 0.842 0.500
Au 0.658 0.158 0.500
Au 0.665 0.500 0.165
Au 0.807 0.807 0.000
CELL_PARAMETERS angstrom
-2.647 4.527 4.612
2.647 -4.527 4.612
2.647 4.527 -4.612

=====

! LiSm2Au6 | the Alexandria database | PBE | relaxed; values from VASP
! SG = No. 164
! ΔE_f = -610 meV per atom
! crystal system = trigonal
&SYSTEM
  ibrav = 0, nat = 9, ntyp = 3
/
ATOMIC_SPECIES
Li 6.94 Li.upf
Sm 150.36 Sm.upf
Au 196.97 Au.upf
ATOMIC_POSITIONS crystal
Li 0.000 0.000 0.000
Sm 0.333 0.667 0.181
Sm 0.667 0.333 0.819
Au 0.177 0.354 0.699
Au 0.177 0.823 0.699
Au 0.354 0.177 0.301
Au 0.646 0.823 0.699
Au 0.823 0.177 0.301
Au 0.823 0.646 0.301
CELL_PARAMETERS angstrom
6.268 0.000 0.000
-3.134 5.428 0.000
0.000 0.000 5.468

=====

! Li3SmAu4 | the Alexandria database | PBE | relaxed; values from VASP
! SG = No. 166
! ΔE_f = -627 meV per atom
! crystal system = trigonal
&SYSTEM
  ibrav = 0, nat = 8, ntyp = 3
/
ATOMIC_SPECIES
Li 6.94 Li.upf
Sm 150.36 Sm.upf
Au 196.97 Au.upf
ATOMIC_POSITIONS crystal
Li 0.000 0.000 0.000
Li 0.263 0.263 0.263
Li 0.737 0.737 0.737
Sm 0.500 0.500 0.500
Au 0.104 0.104 0.104
Au 0.373 0.373 0.373
Au 0.627 0.627 0.627
Au 0.896 0.896 0.896
CELL_PARAMETERS angstrom
2.264 1.307 8.324
-2.264 1.307 8.324
0.000 -2.614 8.324

=====

! Li2SmAu | the Alexandria database | PBE | relaxed; values from VASP
! SG = No. 123
! ΔE_f = -231 meV per atom
! crystal system = tetragonal
&SYSTEM
  ibrav = 0, nat = 4, ntyp = 3
/
ATOMIC_SPECIES
Li 6.94 Li.upf
Sm 150.36 Sm.upf
Au 196.97 Au.upf
ATOMIC_POSITIONS crystal
Li 0.000 0.000 0.178
Li 0.000 0.000 0.822
Sm 0.500 0.500 0.500
Au 0.500 0.500 0.000
CELL_PARAMETERS angstrom
3.390 0.000 0.000
0.000 3.390 0.000
0.000 0.000 7.077

=====

! SrLi2SmAu4 | the Alexandria database | PBE | relaxed; values from VASP
! SG = No. 166
! ΔE_f = -678 meV per atom
! crystal system = trigonal
&SYSTEM
  ibrav = 0, nat = 8, ntyp = 4
/
ATOMIC_SPECIES
Sr 87.62 Sr.upf
Li 6.94 Li.upf
Sm 150.36 Sm.upf
Au 196.97 Au.upf
ATOMIC_POSITIONS crystal
Sr 0.000 0.000 0.000
Li 0.246 0.246 0.246
Li 0.754 0.754 0.754
Sm 0.500 0.500 0.500
Au 0.112 0.112 0.112
Au 0.398 0.398 0.398
Au 0.602 0.602 0.602
Au 0.888 0.888 0.888
CELL_PARAMETERS angstrom
2.295 1.325 9.937
-2.295 1.325 9.937
0.000 -2.650 9.937

=====

! SrLiSmAu | the Alexandria database | PBE | relaxed; values from VASP
! SG = No. 216
! ΔE_f = -307 meV per atom
! crystal system = cubic
&SYSTEM
  ibrav = 0, nat = 4, ntyp = 4
/
ATOMIC_SPECIES
Sr 87.62 Sr.upf
Li 6.94 Li.upf
Sm 150.36 Sm.upf
Au 196.97 Au.upf
ATOMIC_POSITIONS crystal
Sr 0.000 0.000 0.000
Li 0.750 0.750 0.750
Sm 0.500 0.500 0.500
Au 0.250 0.250 0.250
CELL_PARAMETERS angstrom
0.000 3.784 3.784
3.784 0.000 3.784
3.784 3.784 0.000

=====

! LiTbSmAu | the Alexandria database | PBE | relaxed; values from VASP
! SG = No. 216
! ΔE_f = -372 meV per atom
! crystal system = cubic
&SYSTEM
  ibrav = 0, nat = 4, ntyp = 4
/
ATOMIC_SPECIES
Li 6.94 Li.upf
Tb 158.93 Tb.upf
Sm 150.36 Sm.upf
Au 196.97 Au.upf
ATOMIC_POSITIONS crystal
Li 0.000 0.000 0.000
Tb 0.250 0.250 0.250
Sm 0.750 0.750 0.750
Au 0.500 0.500 0.500
CELL_PARAMETERS angstrom
0.000 3.656 3.656
3.656 0.000 3.656
3.656 3.656 0.000